Record 1
DFT (PBE) results for crystalline PrCN4 at its relaxed geometry.

As for the total DFT energy (no corrections): -8.34 eV/atom. The calculation puts the calculated density at 2580 kg/m³. The calculation puts the uncorrected formation energy at -0.45 eV per atom.

Lattice parameters (Å, degrees): 5.659 3.852 6.169 90.00 90.49 90.00
Space group P2/m (No. 10)
Symmetry-distinct sites (fractional):
Pr1 0.000 0.000 0.000
C1 0.500 0.500 0.000
N1 0.000 0.000 0.407
N2 0.282 0.500 0.001

Record 2
DFT (PBE) results for crystalline Pr5CN2 at its relaxed geometry.

As for the total DFT energy (no corrections): -6.75 eV/atom. The calculation puts the calculated density at 6443 kg/m³. The calculation puts the uncorrected formation energy at -0.53 eV per atom.

Lattice parameters (Å, degrees): 5.203 12.245 12.048 90.00 90.00 90.00
Space group Cmcm (No. 63)
Symmetry-distinct sites (fractional):
Pr1 0.000 0.056 0.119
Pr2 0.000 0.249 0.750
Pr3 0.000 0.333 0.064
C1 0.000 0.217 0.250
N1 0.000 0.160 0.554